VASP calculation (PBE-GGA) on an optimized crystal structure of Ag2MoPb.

Output
As for the space-group type: Imm2 (44). The calculation puts the total energy at -17.58 eV for the cell shown. The calculation puts the energy of formation at 0.666 eV/atom. As for the crystal system: orthorhombic. The volume comes out at 19.8 A^3/atom.

abc: 5.870 5.870 5.870
angles: 150.36 127.14 61.77
Sites, in units of the cell vectors:
Ag 0.000 0.000 0.000
Ag 0.759 0.259 0.500
Mo 0.244 0.744 0.500
Pb 0.499 0.499 0.000

***

VASP calculation (PBE-GGA) on an optimized crystal structure of Ag2MoPb.

Output
As for the space-group type: Pmm2 (25). The calculation puts the total energy at -18.05 eV for the cell shown. The calculation puts the energy of formation at 0.547 eV/atom. As for the crystal system: orthorhombic. The volume comes out at 19.4 A^3/atom.

abc: 3.015 4.796 5.362
angles: 90.00 90.00 90.00
Sites, in units of the cell vectors:
Ag 0.000 0.000 0.000
Ag 0.500 0.500 0.107
Mo 0.000 0.500 0.626
Pb 0.500 0.000 0.513

***

VASP calculation (PBE-GGA) on an optimized crystal structure of Ag2MoPb.

Output
As for the space-group type: I4/mmm (139). The calculation puts the total energy at -17.72 eV for the cell shown. The calculation puts the energy of formation at 0.631 eV/atom. As for the crystal system: tetragonal. The volume comes out at 20.1 A^3/atom.

abc: 5.551 5.551 5.551
angles: 136.43 136.43 63.32
Sites, in units of the cell vectors:
Ag 0.250 0.750 0.500
Ag 0.750 0.250 0.500
Mo 0.000 0.000 0.000
Pb 0.500 0.500 0.000

***

VASP calculation (PBE-GGA) on an optimized crystal structure of AgMoPb2.

Output
As for the space-group type: P4/mmm (123). The calculation puts the total energy at -18.82 eV for the cell shown. The calculation puts the energy of formation at 0.569 eV/atom. As for the crystal system: tetragonal. The volume comes out at 21.6 A^3/atom.

abc: 3.654 3.654 6.484
angles: 90.00 90.00 90.00
Sites, in units of the cell vectors:
Ag 0.000 0.000 0.000
Mo 0.000 0.000 0.500
Pb 0.500 0.500 0.261
Pb 0.500 0.500 0.739

***

VASP calculation (PBE-GGA) on an optimized crystal structure of Ag2MoPb.

Output
As for the space-group type: Immm (71). The calculation puts the total energy at -18.20 eV for the cell shown. The calculation puts the energy of formation at 0.510 eV/atom. As for the crystal system: orthorhombic. The volume comes out at 19.8 A^3/atom.

abc: 6.113 6.113 6.113
angles: 151.64 132.71 56.07
Sites, in units of the cell vectors:
Ag 0.232 0.232 0.000
Ag 0.768 0.768 0.000
Mo 0.000 0.500 0.500
Pb 0.500 0.000 0.500

***

VASP calculation (PBE-GGA) on an optimized crystal structure of Ag2MoPb.

Output
As for the space-group type: P4/mmm (123). The calculation puts the total energy at -18.11 eV for the cell shown. The calculation puts the energy of formation at 0.533 eV/atom. As for the crystal system: tetragonal. The volume comes out at 19.0 A^3/atom.

abc: 4.098 4.098 4.532
angles: 90.00 90.00 90.00
Sites, in units of the cell vectors:
Ag 0.000 0.500 0.000
Ag 0.500 0.000 0.000
Mo 0.000 0.000 0.500
Pb 0.500 0.500 0.500

***

VASP calculation (PBE-GGA) on an optimized crystal structure of Ag2MoPb.

Output
As for the space-group type: R-3m (166). The calculation puts the total energy at -18.07 eV for the cell shown. The calculation puts the energy of formation at 0.544 eV/atom. As for the crystal system: trigonal. The volume comes out at 20.0 A^3/atom.

abc: 10.170 10.170 10.170
angles: 17.17 17.17 17.17
Sites, in units of the cell vectors:
Ag 0.243 0.243 0.243
Ag 0.757 0.757 0.757
Mo 0.500 0.500 0.500
Pb 0.000 0.000 0.000

***

VASP calculation (PBE-GGA) on an optimized crystal structure of AgMoPb2.

Output
As for the space-group type: F-43m (216). The calculation puts the total energy at -17.76 eV for the cell shown. The calculation puts the energy of formation at 0.834 eV/atom. As for the crystal system: cubic. The volume comes out at 23.8 A^3/atom.

abc: 5.125 5.125 5.125
angles: 60.00 60.00 60.00
Sites, in units of the cell vectors:
Ag 0.000 0.000 0.000
Mo 0.750 0.750 0.750
Pb 0.250 0.250 0.250
Pb 0.500 0.500 0.500

***

VASP calculation (PBE-GGA) on an optimized crystal structure of Ag2MoPb.

Output
As for the space-group type: Cmmm (65). The calculation puts the total energy at -18.02 eV for the cell shown. The calculation puts the energy of formation at 0.556 eV/atom. As for the crystal system: orthorhombic. The volume comes out at 19.4 A^3/atom.

abc: 5.450 5.450 2.944
angles: 90.00 90.00 117.33
Sites, in units of the cell vectors:
Ag 0.000 0.500 0.000
Ag 0.500 0.000 0.000
Mo 0.000 0.000 0.500
Pb 0.500 0.500 0.500

***

VASP calculation (PBE-GGA) on an optimized crystal structure of AgMoPb2.

Output
As for the space-group type: Imm2 (44). The calculation puts the total energy at -18.95 eV for the cell shown. The calculation puts the energy of formation at 0.537 eV/atom. As for the crystal system: orthorhombic. The volume comes out at 24.1 A^3/atom.

abc: 7.189 7.189 7.189
angles: 155.15 141.67 46.22
Sites, in units of the cell vectors:
Ag 0.000 0.000 0.000
Mo 0.187 0.687 0.500
Pb 0.384 0.384 0.000
Pb 0.673 0.173 0.500

***

VASP calculation (PBE-GGA) on an optimized crystal structure of Ag2MoPb.

Output
As for the space-group type: Cmm2 (35). The calculation puts the total energy at -18.27 eV for the cell shown. The calculation puts the energy of formation at 0.493 eV/atom. As for the crystal system: orthorhombic. The volume comes out at 20.1 A^3/atom.

abc: 2.947 2.947 9.258
angles: 90.00 90.00 91.79
Sites, in units of the cell vectors:
Ag 0.000 0.000 0.000
Ag 0.500 0.500 0.223
Mo 0.000 0.000 0.443
Pb 0.500 0.500 0.695

***

VASP calculation (PBE-GGA) on an optimized crystal structure of AgMoPb2.

Output
As for the space-group type: R3m (160). The calculation puts the total energy at -18.92 eV for the cell shown. The calculation puts the energy of formation at 0.546 eV/atom. As for the crystal system: trigonal. The volume comes out at 23.7 A^3/atom.

abc: 11.224 11.224 11.224
angles: 16.11 16.11 16.11
Sites, in units of the cell vectors:
Ag 0.000 0.000 0.000
Mo 0.733 0.733 0.733
Pb 0.254 0.254 0.254
Pb 0.474 0.474 0.474